Here is a relaxed structure of BaSn2Ge2 from Alexandria via LeMat-Bulk. Energies are from GGA-PBEsol.

Unit cell a=5.206 b=5.206 c=10.122 alpha=90.00 beta=90.00 gamma=90.00
Space group I4/mmm (No. 139)
Inequivalent atoms, fractional coordinates:
Ba (0.000, 0.000, 0.000) x2
Sn (0.000, 0.000, 0.355) x4
Ge (0.000, 0.500, 0.250) x4

Summary:
formation energy	-0.304	eV/atom
size of the total moment	0.0	Bohr magnetons per cell